Computed, not measured: a relaxed TiTlBr5 crystal at the PBE-GGA level of DFT.

a = 7.414 Å, b = 7.414 Å, c = 10.769 Å
α = 92.91°, β = 92.91°, γ = 81.08°
Positions (direct):
Ti: 0.242 0.758 0.500
Ti: 0.758 0.242 0.000
Tl: 0.721 0.785 0.270
Tl: 0.785 0.721 0.770
Br: 0.020 0.352 0.927
Br: 0.136 0.557 0.340
Br: 0.242 0.697 0.719
Br: 0.352 0.020 0.427
Br: 0.557 0.136 0.840
Br: 0.557 0.574 0.497
Br: 0.574 0.557 0.997
Br: 0.697 0.242 0.219
Br: 0.927 0.940 0.520
Br: 0.940 0.927 0.020

Results
For the final energy, the calculation gives -3.74 eV per atom. The density of states at the Fermi level comes out at 0.0 states/eV/cell. The total moment is 0.000 μB/f.u. As for the energy above the most stable polymorph in this dataset: 0 meV/atom. The calculation puts the volume at 292 Å³/f.u. The formation energy without anion corrections comes out at -1.080 eV/atom.